1.
Density functional theory data (PBE) for a geometry-optimized TeP2Se structure.

Cell: 4.4207 4.4207 7.3211 Å, 90.00 90.00 131.03°
Element x y z (fractional)
Te 0.0000 0.0000 0.0000
P 0.5000 0.5000 0.2627
P 0.5000 0.5000 0.7373
Se 0.0000 0.0000 0.5000

Summary:
SG = Cmmm
V = 108 Å³/f.u.
Energy relative to the elements, uncorrected = 51.5 kJ/mol of atoms
Crystal system = orthorhombic

---

2.
Density functional theory data (PBE) for a geometry-optimized TePSe structure.

Cell: 5.3739 6.0936 6.7721 Å, 93.18 111.54 102.25°
Element x y z (fractional)
Te 0.0000 0.0000 0.0000
Te 0.2777 0.2275 0.7667
P 0.8454 0.1950 0.4320
P 0.9681 0.3619 0.1874
Se 0.3801 0.6237 0.3135
Se 0.7369 0.4943 0.5852

Summary:
SG = P1
V = 100 Å³/f.u.
Energy relative to the elements, uncorrected = 8.3 kJ/mol of atoms
Crystal system = triclinic

---

3.
Density functional theory data (PBE) for a geometry-optimized Te2PSe structure.

Cell: 4.6669 4.6669 7.8648 Å, 90.00 90.00 131.49°
Element x y z (fractional)
Te 0.0000 0.0000 0.2328
Te 0.0000 0.0000 0.7672
P 0.5000 0.5000 0.0000
Se 0.5000 0.5000 0.5000

Summary:
SG = Cmmm
V = 128 Å³/f.u.
Energy relative to the elements, uncorrected = 33.0 kJ/mol of atoms
Crystal system = orthorhombic

---

4.
Density functional theory data (PBE) for a geometry-optimized TeP2Se structure.

Cell: 3.6620 3.6913 7.9706 Å, 90.00 90.00 90.00°
Element x y z (fractional)
Te 0.0000 0.0000 0.0000
P 0.5000 0.0000 0.5000
P 0.5000 0.5000 0.0000
Se 0.0000 0.5000 0.5000

Summary:
SG = Pmmm
V = 108 Å³/f.u.
Energy relative to the elements, uncorrected = 55.0 kJ/mol of atoms
Crystal system = orthorhombic

---

Size of the total moment: 0.00; 0.00; 0.00; 0.00 (Bohr magnetons per cell)